The following is a PBE calculation of a relaxed structure of TeAsRu2, from Alexandria via LeMat-Bulk.

Results
VASP energy in eV for the cell shown: -25.7
D(E_F) in states/eV/atom: 0.524
Offset from the most stable computed form in meV per atom: 243
Crystal system: trigonal
Formation energy (no corrections) in eV/atom: 0.165

Cell lengths 8.0519, 8.0519, 8.0519 Å; angles 22.49, 22.49, 22.49 degrees
Closest atoms and distances in Å follow each position.
Element x y z (fractional)
1 Ru 0.4948 0.4948 0.4948  3 As 2.58, 3 Te 2.76
2 Ru 0.0052 0.0052 0.0052  3 As 2.58, 3 Te 2.76
3 As 0.7500 0.7500 0.7500  6 Ru 2.58
4 Te 0.2500 0.2500 0.2500  6 Ru 2.76